Entry 1:
Li3Np3NbS8 | PBE | optimized geometry

## Properties
Final energy (eV/atom): -7.1344
Magnetization (Bohr magnetons per cell): 13.02

abc: 7.618 7.618 7.618
angles: 60.32 60.32 60.32
Sites, in units of the cell vectors:
Li: 0.000 0.500 0.500
Li: 0.500 0.000 0.500
Li: 0.500 0.500 0.000
Np: 0.000 0.000 0.500
Np: 0.000 0.500 0.000
Np: 0.500 0.000 0.000
Nb: 0.500 0.500 0.500
S: 0.253 0.253 0.253
S: 0.263 0.263 0.734
S: 0.263 0.734 0.263
S: 0.266 0.737 0.737
S: 0.734 0.263 0.263
S: 0.737 0.266 0.737
S: 0.737 0.737 0.266
S: 0.747 0.747 0.747



Entry 2:
LiNb3O8 | PBE | optimized geometry

## Properties
Final energy (eV/atom): -8.5050
Magnetization (Bohr magnetons per cell): 0.00

abc: 7.635 5.101 15.572
angles: 90.00 107.07 90.00
Sites, in units of the cell vectors:
Li: 0.239 0.241 0.079
Li: 0.239 0.259 0.579
Li: 0.761 0.741 0.421
Li: 0.761 0.759 0.921
Nb: 0.019 0.738 0.165
Nb: 0.019 0.762 0.665
Nb: 0.252 0.743 0.425
Nb: 0.252 0.757 0.925
Nb: 0.491 0.231 0.331
Nb: 0.491 0.269 0.831
Nb: 0.509 0.731 0.169
Nb: 0.509 0.769 0.669
Nb: 0.748 0.243 0.075
Nb: 0.748 0.257 0.575
Nb: 0.981 0.238 0.335
Nb: 0.981 0.262 0.835
O: 0.001 0.561 0.401
O: 0.001 0.939 0.901
O: 0.084 0.586 0.783
O: 0.084 0.914 0.283
O: 0.148 0.065 0.450
O: 0.148 0.435 0.950
O: 0.236 0.599 0.155
O: 0.236 0.901 0.655
O: 0.281 0.083 0.845
O: 0.281 0.417 0.345
O: 0.352 0.605 0.539
O: 0.352 0.895 0.039
O: 0.415 0.068 0.218
O: 0.415 0.432 0.718
O: 0.461 0.579 0.899
O: 0.461 0.921 0.399
O: 0.539 0.079 0.601
O: 0.539 0.421 0.101
O: 0.585 0.568 0.282
O: 0.585 0.932 0.782
O: 0.648 0.105 0.961
O: 0.648 0.395 0.461
O: 0.719 0.583 0.655
O: 0.719 0.917 0.155
O: 0.764 0.099 0.345
O: 0.764 0.401 0.845
O: 0.852 0.565 0.050
O: 0.852 0.935 0.550
O: 0.916 0.086 0.717
O: 0.916 0.414 0.217
O: 0.999 0.061 0.099
O: 0.999 0.439 0.599



Entry 3:
LiNbO3 | PBE | optimized geometry

## Properties
Final energy (eV/atom): -7.8139
Magnetization (Bohr magnetons per cell): 0.00

abc: 5.543 5.543 5.152
angles: 94.90 94.90 125.02
Sites, in units of the cell vectors:
Li: 0.167 0.833 0.000
Li: 0.833 0.167 0.000
Nb: 0.345 0.655 0.500
Nb: 0.655 0.345 0.500
O: 0.047 0.466 0.736
O: 0.306 0.306 0.299
O: 0.466 0.047 0.736
O: 0.534 0.953 0.264
O: 0.694 0.694 0.701
O: 0.953 0.534 0.264



Entry 4:
LiNbO3 | PBE | optimized geometry

## Properties
Final energy (eV/atom): -7.8381
Magnetization (Bohr magnetons per cell): 0.00

abc: 5.276 5.276 5.709
angles: 90.08 117.40 119.96
Sites, in units of the cell vectors:
Li: 0.212 0.356 0.067
Li: 0.788 0.644 0.933
Nb: 0.213 0.856 0.569
Nb: 0.787 0.144 0.431
O: 0.019 0.562 0.734
O: 0.277 0.215 0.734
O: 0.328 0.043 0.266
O: 0.672 0.957 0.734
O: 0.723 0.785 0.266
O: 0.981 0.438 0.266